A plane-wave DFT calculation with PBE was carried out for a relaxed NiHgBiPt crystal.

Unit cell a=4.7449 b=4.7449 c=4.7449 alpha=60.00 beta=60.00 gamma=60.00
Closest atoms and distances in Å follow each position.
Sites, in units of the cell vectors:
Bi  0.0000  0.0000  0.0000  4 Ni 2.91, 4 Pt 2.91
Hg  0.5000  0.5000  0.5000  4 Pt 2.91, 4 Ni 2.91
Ni  0.7500  0.7500  0.7500  4 Bi 2.91, 4 Hg 2.91
Pt  0.2500  0.2500  0.2500  4 Hg 2.91, 4 Bi 2.91

## Properties
space-group type	No. 216
calculated total energy	-3.85	eV per atom
distance to the lowest polymorph of the same formula	0	meV/atom

=====

A plane-wave DFT calculation with PBE was carried out for a relaxed CsTaAs crystal.

Unit cell a=5.1887 b=5.1887 c=5.1887 alpha=60.00 beta=60.00 gamma=60.00
Closest atoms and distances in Å follow each position.
Sites, in units of the cell vectors:
As  0.2500  0.2500  0.2500  4 Cs 3.18
Cs  0.0000  0.0000  0.0000  4 As 3.18, 4 Ta 3.18
Ta  0.7500  0.7500  0.7500  4 Cs 3.18

## Properties
space-group type	No. 216
calculated total energy	-3.51	eV per atom
distance to the lowest polymorph of the same formula	1004	meV/atom

=====

A plane-wave DFT calculation with PBE was carried out for a relaxed TbHoNCl3 crystal.

Unit cell a=8.4579 b=8.4579 c=10.7937 alpha=121.06 beta=121.06 gamma=26.22
Closest atoms and distances in Å follow each position.
Sites, in units of the cell vectors:
Cl  0.2184  0.2184  0.1128  2 Ho 2.74, 1 Tb 2.87
Cl  0.9541  0.9541  0.2478  2 Ho 2.73, 1 Tb 2.80
Cl  0.3342  0.3342  0.4876  3 Tb 2.77-2.90
Cl  0.6658  0.6658  0.5124  3 Tb 2.77-2.90
Cl  0.0459  0.0459  0.7522  2 Ho 2.73, 1 Tb 2.80
Cl  0.7816  0.7816  0.8872  2 Ho 2.74, 1 Tb 2.87
Ho  0.4171  0.4171  0.0439  2 N 2.22
Ho  0.5829  0.5829  0.9561  2 N 2.22
N  0.5758  0.5758  0.1558  2 Ho 2.22, 2 Tb 2.30
N  0.4242  0.4242  0.8442  2 Ho 2.22, 2 Tb 2.30
Tb  0.1379  0.1379  0.2922  2 N 2.30
Tb  0.8621  0.8621  0.7078  2 N 2.30

## Properties
space-group type	No. 12
calculated total energy	-5.98	eV per atom
distance to the lowest polymorph of the same formula	0	meV/atom

=====

A plane-wave DFT calculation with PBE was carried out for a relaxed LiZr4S8 crystal.

Unit cell a=7.4628 b=7.4628 c=7.4628 alpha=60.00 beta=60.00 gamma=60.00
Closest atoms and distances in Å follow each position.
Sites, in units of the cell vectors:
Li  0.5000  0.5000  0.5000  4 S 2.39
S  0.6309  0.6309  0.1073  1 Li 2.39, 3 Zr 2.61
S  0.1208  0.1208  0.1208  3 Zr 2.57
S  0.6375  0.1208  0.1208  3 Zr 2.57
S  0.1208  0.6375  0.1208  3 Zr 2.57
S  0.6309  0.1073  0.6309  1 Li 2.39, 3 Zr 2.61
S  0.1073  0.6309  0.6309  1 Li 2.39, 3 Zr 2.61
S  0.6309  0.6309  0.6309  1 Li 2.39, 3 Zr 2.61
S  0.1208  0.1208  0.6375  3 Zr 2.57
Zr  0.8776  0.8776  0.3672  6 S 2.57-2.61
Zr  0.8776  0.3672  0.8776  6 S 2.57-2.61
Zr  0.8776  0.8776  0.8776  6 S 2.57-2.61
Zr  0.3672  0.8776  0.8776  6 S 2.57-2.61

## Properties
space-group type	No. 216
calculated total energy	-6.86	eV per atom